No. 1
{"formula": "ReIr6Ru5", "functional": "PBE", "state": "relaxed", "final_energy_ev_per_cell": -112.58, "formation_enthalpy_0k_ev_per_atom": -0.05, "cell": [[-0.225, 2.888, -2.530], [-2.879, -5.703, -3.326], [-4.529, 1.743, 5.322]], "species": ["Re", "Ir", "Ir", "Ir", "Ir", "Ir", "Ir", "Ru", "Ru", "Ru", "Ru", "Ru"], "fractional_positions": [[0.000, 0.000, 0.000], [0.249, 0.083, 0.416], [0.751, 0.584, 0.917], [0.749, 0.249, 0.249], [0.251, 0.751, 0.751], [0.249, 0.416, 0.083], [0.751, 0.917, 0.584], [0.500, 0.165, 0.835], [0.000, 0.334, 0.666], [0.500, 0.500, 0.500], [0.000, 0.666, 0.334], [0.500, 0.835, 0.165]]}


No. 2
{"formula": "ScBeRh", "functional": "PBE", "state": "relaxed", "relative_energy_mev_per_atom": 74.3, "final_energy_ev_per_cell": -19.16, "formation_enthalpy_0k_ev_per_atom": -0.58, "cell": [[4.021, 0.000, 0.000], [-2.010, 3.482, 0.000], [0.000, 0.000, 3.216]], "species": ["Sc", "Be", "Rh"], "fractional_positions": [[0.333, 0.667, 0.333], [0.000, 0.000, 0.833], [0.667, 0.333, 0.834]]}


No. 3
{"formula": "PrEuCo", "functional": "PBE", "state": "relaxed", "relative_energy_mev_per_atom": 66.6, "final_energy_ev_per_cell": -21.70, "formation_enthalpy_0k_ev_per_atom": 0.15, "cell": [[4.863, 0.000, 0.000], [2.432, 4.212, 0.000], [2.432, 1.404, 3.971]], "species": ["Eu", "Pr", "Co"], "fractional_positions": [[0.000, 0.000, 0.000], [0.500, 0.500, 0.500], [0.250, 0.250, 0.250]]}


No. 4
{"formula": "LaPm4Pr5", "functional": "PBE", "state": "relaxed", "relative_energy_mev_per_atom": 117.2, "final_energy_ev_per_cell": -46.48, "formation_enthalpy_0k_ev_per_atom": 0.13, "cell": [[-0.229, -0.049, -3.539], [1.171, -6.929, 0.019], [-14.382, -0.540, 2.716]], "species": ["La", "Pm", "Pm", "Pm", "Pm", "Pr", "Pr", "Pr", "Pr", "Pr"], "fractional_positions": [[0.500, 0.000, 0.000], [0.608, 0.807, 0.215], [0.906, 0.697, 0.811], [0.392, 0.193, 0.785], [0.094, 0.303, 0.189], [0.201, 0.599, 0.402], [0.205, 0.102, 0.410], [0.795, 0.898, 0.590], [0.500, 0.500, 0.000], [0.799, 0.401, 0.598]]}